# 1
Compound: ZnGeH2
Source: Alexandria via LeMat-Bulk
Functional: GGA-PBE
Structure: relaxed

Cell: 5.7848 5.7848 5.7848 Å, 135.26 135.26 65.13°
Positions (direct):
Zn: 0.0000 0.0000 0.0000
Zn: 0.7500 0.2500 0.5000
Ge: 0.2500 0.7500 0.5000
Ge: 0.5000 0.5000 0.0000
H: 0.0195 0.6250 0.8945
H: 0.3750 0.2695 0.3945
H: 0.7305 0.1250 0.1055
H: 0.8750 0.9805 0.6055

Summary:
The density is 4.92 Mg/m³. Its space group is I-42d. Its crystal system is tetragonal. For the total moment, the calculation gives 0.00 μB/cell. For the energy above the most stable polymorph in this dataset, the calculation gives 0.0 meV per atom.

---

# 2
Compound: ZnGe4H2
Source: Alexandria via LeMat-Bulk
Functional: GGA-PBE
Structure: relaxed

Cell: 6.0498 6.0498 6.0498 Å, 132.37 132.37 69.64°
Positions (direct):
Zn: 0.0000 0.0000 0.0000
Ge: 0.0000 0.5000 0.5000
Ge: 0.2668 0.2668 0.0000
Ge: 0.5000 0.0000 0.5000
Ge: 0.7332 0.7332 0.0000
H: 0.4500 0.4500 0.0000
H: 0.5500 0.5500 0.0000

Summary:
The density is 5.01 Mg/m³. As for the final energy: -3.14 eV per atom. Its space group is I4/mmm. Its crystal system is tetragonal. For the total moment, the calculation gives 0.00 μB/cell.